# 1
Ca2TcAu: PBEsol geometry, SCAN.

Cell lengths 3.321, 3.321, 9.262 Å; angles 79.67, 79.67, 60.00 degrees
Element x y z (fractional)
Ca  0.248  0.248  0.257
Ca  0.752  0.752  0.743
Au  0.000  0.000  0.000
Tc  0.500  0.500  0.500

Output
total magnetization	1.21	μB per formula unit

=====

# 2
Ca2TcAu: PBEsol geometry, SCAN.

Cell lengths 4.931, 4.931, 4.931 Å; angles 60.00, 60.00, 60.00 degrees
Element x y z (fractional)
Ca  0.250  0.250  0.250
Ca  0.750  0.750  0.750
Au  0.000  0.000  0.000
Tc  0.500  0.500  0.500

Output
total magnetization	2.14	μB per formula unit

=====

# 3
CaTc2Au: PBEsol geometry, SCAN.

Cell lengths 3.784, 4.642, 5.001 Å; angles 117.65, 112.23, 90.00 degrees
Element x y z (fractional)
Ca  0.266  0.766  0.531
Au  0.493  0.493  0.986
Tc  0.030  0.030  0.060
Tc  0.711  0.211  0.423

Output
total magnetization	0.00	μB per formula unit

=====

# 4
CaTc2Au: PBEsol geometry, SCAN.

Cell lengths 3.831, 3.831, 5.380 Å; angles 110.86, 110.86, 90.00 degrees
Element x y z (fractional)
Ca  0.000  0.000  0.000
Au  0.500  0.500  0.000
Tc  0.750  0.250  0.500
Tc  0.250  0.750  0.500

Output
total magnetization	1.15	μB per formula unit

=====

Number 1: ΔE_f 0.289 eV/atom, total DFT energy (no corrections) -30.60 eV/atom. Number 2: ΔE_f 0.206 eV/atom, total DFT energy (no corrections) -30.68 eV/atom. Number 3: ΔE_f 0.252 eV/atom, total DFT energy (no corrections) -36.98 eV/atom. Number 4: ΔE_f 0.470 eV/atom, total DFT energy (no corrections) -36.77 eV/atom.